Density functional theory data (PBE) for crystalline ZnAs2Au at its relaxed geometry.

## Properties
VASP energy: -3.27 eV/atom
calculated density: 9.14 Mg/m³

Cell: 6.045 5.084 2.901 Å, 100.29 71.64 117.60°
Sites, in units of the cell vectors:
As: 0.000 0.500 0.500
As: 0.000 0.000 0.000
Au: 0.500 0.500 0.000
Zn: 0.500 0.000 0.500

=====

Density functional theory data (PBE) for crystalline ZnAsAu14 at its relaxed geometry.

## Properties
VASP energy: -3.22 eV/atom
calculated density: 16.71 Mg/m³

Cell: 5.983 5.983 9.428 Å, 90.00 90.00 121.40°
Sites, in units of the cell vectors:
Au: 0.045 0.459 0.500
Au: 0.371 0.125 0.743
Au: 0.210 0.287 0.000
Au: 0.541 0.955 0.500
Au: 0.208 0.792 0.000
Au: 0.877 0.123 0.745
Au: 0.713 0.790 0.000
Au: 0.711 0.289 0.000
Au: 0.374 0.626 0.754
Au: 0.371 0.125 0.257
Au: 0.875 0.629 0.257
Au: 0.875 0.629 0.743
Au: 0.374 0.626 0.246
Au: 0.877 0.123 0.255
As: 0.539 0.461 0.500
Zn: 0.041 0.959 0.500

=====

Density functional theory data (PBE) for crystalline Zn2As2Au at its relaxed geometry.

## Properties
VASP energy: -2.87 eV/atom
distance to the lowest polymorph of the same formula: 0 meV/atom
calculated density: 8.16 Mg/m³

Cell: 7.325 7.325 3.621 Å, 90.00 90.00 90.00°
Sites, in units of the cell vectors:
Zn: 0.624 0.876 0.500
Zn: 0.124 0.624 0.500
Zn: 0.876 0.376 0.500
Zn: 0.376 0.124 0.500
As: 0.306 0.806 0.000
As: 0.194 0.306 0.000
As: 0.806 0.694 0.000
As: 0.694 0.194 0.000
Au: 0.000 0.000 0.000
Au: 0.500 0.500 0.000

=====

Density functional theory data (PBE) for crystalline ZnAs2Au at its relaxed geometry.

## Properties
VASP energy: -3.44 eV/atom
calculated density: 8.24 Mg/m³

Cell: 4.411 4.411 6.945 Å, 85.96 85.96 38.08°
Sites, in units of the cell vectors:
Au: 0.555 0.555 0.512
As: 0.831 0.831 0.715
As: 0.922 0.922 0.048
Zn: 0.192 0.192 0.224

=====

Density functional theory data (PBE) for crystalline ZnAs2Au at its relaxed geometry.

## Properties
VASP energy: -3.35 eV/atom
calculated density: 8.80 Mg/m³

Cell: 6.329 6.329 6.329 Å, 35.85 35.85 35.85°
Sites, in units of the cell vectors:
As: 0.502 0.502 0.502
As: 0.998 0.998 0.998
Zn: 0.750 0.750 0.750
Au: 0.250 0.250 0.250

=====

Density functional theory data (PBE) for crystalline ZnAs2Au at its relaxed geometry.

## Properties
VASP energy: -3.22 eV/atom
calculated density: 9.29 Mg/m³

Cell: 5.005 5.005 5.005 Å, 129.01 129.01 75.00°
Sites, in units of the cell vectors:
Zn: 0.750 0.250 0.500
Au: 0.500 0.500 0.000
As: 0.000 0.000 0.000
As: 0.250 0.750 0.500

=====

Density functional theory data (PBE) for crystalline ZnAsAu3 at its relaxed geometry.

## Properties
VASP energy: -2.75 eV/atom
distance to the lowest polymorph of the same formula: 0 meV/atom
calculated density: 9.88 Mg/m³

Cell: 4.971 4.971 4.971 Å, 90.00 90.00 90.00°
Sites, in units of the cell vectors:
Au: 0.000 0.000 0.500
Au: 0.500 0.000 0.000
Au: 0.000 0.500 0.000
Zn: 0.500 0.500 0.500
As: 0.000 0.000 0.000

=====

Density functional theory data (PBE) for crystalline Zn3AsAu at its relaxed geometry.

## Properties
VASP energy: -1.96 eV/atom
distance to the lowest polymorph of the same formula: 0 meV/atom
calculated density: 6.76 Mg/m³

Cell: 4.863 4.863 4.863 Å, 90.00 90.00 90.00°
Sites, in units of the cell vectors:
Zn: 0.000 0.000 0.500
Zn: 0.500 0.000 0.000
Zn: 0.000 0.500 0.000
As: 0.500 0.500 0.500
Au: 0.000 0.000 0.000

=====

Density functional theory data (PBE) for crystalline ZnAs2Au at its relaxed geometry.

## Properties
VASP energy: -3.41 eV/atom
calculated density: 8.86 Mg/m³

Cell: 3.622 2.798 7.749 Å, 100.32 90.00 90.00°
Sites, in units of the cell vectors:
As: 0.000 0.064 0.001
As: 0.500 0.183 0.243
Zn: 0.500 0.925 0.727
Au: 0.000 0.327 0.529

=====

Density functional theory data (PBE) for crystalline Zn2As2Au at its relaxed geometry.

## Properties
VASP energy: -2.82 eV/atom
distance to the lowest polymorph of the same formula: 55 meV/atom
calculated density: 8.01 Mg/m³

Cell: 4.536 4.536 5.785 Å, 66.92 66.92 90.00°
Sites, in units of the cell vectors:
Au: 0.000 0.000 0.000
As: 0.374 0.374 0.251
As: 0.626 0.626 0.749
Zn: 0.250 0.750 0.500
Zn: 0.750 0.250 0.500

=====

Density functional theory data (PBE) for crystalline ZnAs2Au at its relaxed geometry.

## Properties
VASP energy: -3.20 eV/atom
calculated density: 9.31 Mg/m³

Cell: 2.892 2.892 8.910 Å, 90.00 90.00 99.31°
Sites, in units of the cell vectors:
As: 0.000 0.000 0.513
As: 0.000 0.000 0.987
Zn: 0.500 0.500 0.750
Au: 0.500 0.500 0.250

=====

Density functional theory data (PBE) for crystalline ZnAs2Au at its relaxed geometry.

## Properties
VASP energy: -3.25 eV/atom
calculated density: 9.20 Mg/m³

Cell: 5.196 5.196 2.756 Å, 90.00 90.00 90.00°
Sites, in units of the cell vectors:
As: 0.000 0.000 0.000
As: 0.500 0.500 0.000
Zn: 0.000 0.500 0.500
Au: 0.500 0.000 0.500